This record from Alexandria via LeMat-Bulk describes a geometry-optimized CdTeO2 structure. The functional is PBE.

Values from the calculation:
D(E_F) = 0.01 states/eV/atom
E_form (uncorrected) = -0.471 eV/atom
spin magnetization = 0.00 μB per atom
relative energy among the computed polymorphs = 328.3 meV per atom

Lattice parameters (Å, degrees): 4.5753 4.5753 7.3827 71.95 71.95 90.00
Closest atoms and distances in Å follow each position.
Sites, in units of the cell vectors:
Te 0.0000 0.0000 0.0000  4 O 2.27
Te 0.7500 0.2500 0.5000  4 O 2.27
O 0.6480 0.1250 0.2500  2 Te 2.27, 2 Cd 2.37
O 0.1020 0.6250 0.2500  2 Te 2.27, 2 Cd 2.37
O 0.3750 0.3520 0.7500  2 Te 2.27, 2 Cd 2.37
O 0.8750 0.8980 0.7500  2 Te 2.27, 2 Cd 2.37
Cd 0.5000 0.5000 0.0000  4 O 2.37
Cd 0.2500 0.7500 0.5000  4 O 2.37

This record from Alexandria via LeMat-Bulk describes a geometry-optimized CdTe2O6 structure. The functional is PBE.

Values from the calculation:
D(E_F) = 0.16 states/eV/atom
E_form (uncorrected) = -0.775 eV/atom
spin magnetization = 0.00 μB per atom
relative energy among the computed polymorphs = 106.2 meV per atom

Lattice parameters (Å, degrees): 3.3188 6.1765 7.7298 96.78 102.40 90.00
Closest atoms and distances in Å follow each position.
Sites, in units of the cell vectors:
Cd 0.5000 0.0000 0.0000  4 O 2.26
Te 0.8295 0.6938 0.6591  3 O 1.91-2.07
Te 0.1705 0.3062 0.3409  3 O 1.91-2.07
O 0.3191 0.8887 0.6382  2 Te 2.07
O 0.0437 0.2365 0.0874  1 Te 1.91
O 0.6761 0.5272 0.3522  2 Te 2.14
O 0.9563 0.7635 0.9126  1 Te 1.91
O 0.6809 0.1113 0.3618  2 Te 2.07
O 0.3239 0.4728 0.6478  2 Te 2.14